## La2MgAl3 (PBE)

Data for a relaxed La2MgAl3 crystal.

Cell: 5.8803 5.8803 14.1540 Å, 90.00 90.00 120.00°
Space group R-3m (No. 166, hexagonal axes)
Unique sites:
La 0.0000 0.0000 0.1206 x6
Mg 0.0000 0.0000 0.5000 x3
Al 0.0000 0.5000 0.0000 x9

Total magnetization (μB per formula unit): 0.000
Total energy (eV/atom): -4.1926
E_form (kJ/mol of atoms): -39.9
Mass density (g/cm3): 4.50